Below is a relaxed structure of KTa2Ni, with properties calculated at the GGA-PBE level.

Cell: 5.1451 3.9291 3.9291 Å, 90.00 90.00 90.00°
Fractional positions:
1 Ta 0.0000 0.5000 0.5000
2 Ta 0.0000 0.0000 0.0000
3 Ni 0.5000 0.0000 0.5000
4 K 0.5000 0.5000 0.0000

Output
energy above the lowest structure with this stoichiometry = 0.886 eV per atom
size of the total moment = 0.00 μB/f.u.

---

Below is a relaxed structure of Zr2Cr4Sn, with properties calculated at the GGA-PBE level.

Cell: 4.7244 4.7244 7.9205 Å, 72.65 72.65 90.00°
Site moments in Bohr magnetons follow the coordinates.
Fractional positions:
1 Zr 0.6055 0.6055 0.7891  -0.23
2 Zr 0.3945 0.3945 0.2109  -0.23
3 Sn 0.0000 0.0000 0.0000  -0.06
4 Cr 0.0000 0.5000 0.0000  1.27
5 Cr 0.8098 0.8098 0.3805  3.87
6 Cr 0.1902 0.1902 0.6195  3.87
7 Cr 0.5000 0.0000 0.0000  1.27

Output
calculated total energy = -7.303 eV per atom
size of the total moment = 10.77 μB/f.u.

---

Below is a relaxed structure of CsTlHgBi, with properties calculated at the GGA-PBE level.

Cell: 5.5073 5.5094 7.1738 Å, 112.59 90.00 119.99°
Fractional positions:
1 Hg 0.8272 0.6543 0.1237
2 Cs 0.6154 0.2308 0.4881
3 Bi 0.1163 0.2326 0.9912
4 Tl 0.4074 0.8149 0.8645

Output
energy above the lowest structure with this stoichiometry = 0.000 eV per atom
size of the total moment = 0.00 μB/f.u.

---

Below is a relaxed structure of MnBeOsI2, with properties calculated at the GGA-PBE level.

Cell: 5.4079 4.8442 5.4079 Å, 90.00 90.00 90.00°
Site moments in Bohr magnetons follow the coordinates.
Fractional positions:
1 I 0.5000 0.0000 0.0000  -0.04
2 I 0.0000 0.0000 0.5000  -0.01
3 Os 0.0000 0.0000 0.0000  -0.28
4 Mn 0.0000 0.5000 0.0000  4.08
5 Be 0.5000 0.5000 0.5000  0.00

Output
size of the total moment = 4.18 μB/f.u.
raw formation energy = 1.355 eV per atom

---

Below is a relaxed structure of AcIn2Pb, with properties calculated at the GGA-PBE level.

Cell: 6.8679 6.9629 6.9629 Å, 79.30 60.45 60.45°
Fractional positions:
1 In 0.3107 0.6893 0.1893
2 In 0.1893 0.3107 0.8107
3 In 0.6893 0.3107 0.8107
4 In 0.8107 0.6893 0.1893
5 Pb 0.7500 0.2171 0.2829
6 Pb 0.2500 0.7829 0.7171
7 Ac 0.2500 0.1877 0.3123
8 Ac 0.7500 0.8123 0.6877

Output
energy above the lowest structure with this stoichiometry = 0.088 eV per atom
size of the total moment = 0.00 μB/f.u.

---

Below is a relaxed structure of Ac2AlI, with properties calculated at the GGA-PBE level.

Cell: 4.1846 4.1846 10.0514 Å, 77.99 77.99 60.00°
Fractional positions:
1 Al 0.0000 0.0000 0.0000
2 Ac 0.2586 0.2586 0.2242
3 Ac 0.7414 0.7414 0.7758
4 I 0.5000 0.5000 0.5000

Output
energy above the lowest structure with this stoichiometry = 0.046 eV per atom
size of the total moment = 0.00 μB/f.u.
raw formation energy = -0.542 eV per atom

---

Below is a relaxed structure of LaAsOs2, with properties calculated at the GGA-PBE level.

Cell: 5.6506 5.6506 5.6506 Å, 149.10 127.01 62.61°
Fractional positions:
1 Os 0.0312 0.0312 0.0000
2 Os 0.4688 0.4688 0.0000
3 La 0.7500 0.2500 0.5000
4 As 0.2500 0.7500 0.5000

Output
calculated total energy = -7.652 eV per atom
size of the total moment = 0.00 μB/f.u.

---

Below is a relaxed structure of Pm3Dy2Y6Ho, with properties calculated at the GGA-PBE level.

Cell: 6.2087 6.2087 11.8437 Å, 94.99 94.99 119.96°
Fractional positions:
1 Y 0.7493 0.7493 0.2474
2 Y 0.4158 0.0826 0.2473
3 Y 0.2507 0.2507 0.7526
4 Y 0.9174 0.5842 0.7527
5 Y 0.0826 0.4158 0.2473
6 Y 0.5842 0.9174 0.7527
7 Dy 0.6666 0.3334 0.0000
8 Dy 0.3334 0.6666 0.0000
9 Pm 0.8334 0.1666 0.5000
10 Pm 0.5000 0.5000 0.5000
11 Pm 0.1666 0.8334 0.5000
12 Ho 0.0000 0.0000 0.0000

Output
calculated total energy = -5.550 eV per atom
size of the total moment = 0.00 μB/f.u.

---

Below is a relaxed structure of Eu2TmLu, with properties calculated at the GGA-PBE level.

Cell: 4.0768 4.0768 8.2137 Å, 90.00 90.00 90.00°
Site moments in Bohr magnetons follow the coordinates.
Fractional positions:
1 Eu 0.0000 0.0000 0.2480  6.88
2 Eu 0.0000 0.0000 0.7520  6.88
3 Lu 0.5000 0.5000 0.0000  0.16
4 Tm 0.5000 0.5000 0.5000  0.17

Output
energy above the lowest structure with this stoichiometry = 0.055 eV per atom
size of the total moment = 14.86 μB/f.u.

---

Below is a relaxed structure of Al2ReHgBi, with properties calculated at the GGA-PBE level.

Cell: 4.8352 5.9536 4.8352 Å, 90.00 90.00 90.00°
Site moments in Bohr magnetons follow the coordinates.
Fractional positions:
1 Al 0.0000 0.0000 0.5000  -0.01
2 Al 0.5000 0.0000 0.0000  -0.01
3 Re 0.5000 0.5000 0.5000  3.18
4 Bi 0.0000 0.5000 0.0000  -0.11
5 Hg 0.0000 0.0000 0.0000  -0.01

Output
calculated total energy = -3.237 eV per atom
size of the total moment = 3.57 μB/f.u.

---

Below is a relaxed structure of KSeBr, with properties calculated at the GGA-PBE level.

Cell: 5.4579 5.4579 5.4579 Å, 60.00 60.00 60.00°
Site moments in Bohr magnetons follow the coordinates.
Fractional positions:
1 Se 0.0000 0.0000 0.0000  0.94
2 Br 0.5000 0.5000 0.5000  0.32
3 K 0.7500 0.7500 0.7500  0.01

Output
energy above the lowest structure with this stoichiometry = 0.636 eV per atom
size of the total moment = 2.00 μB/f.u.
raw formation energy = -0.343 eV per atom

---

Below is a relaxed structure of Tb5Mg4Ru, with properties calculated at the GGA-PBE level.

Cell: 3.6156 3.6156 19.7832 Å, 90.00 90.00 90.00°
Site moments in Bohr magnetons follow the coordinates.
Fractional positions:
1 Ru 0.0000 0.0000 0.0000  0.00
2 Mg 0.0000 0.0000 0.3980  0.00
3 Mg 0.0000 0.0000 0.8077  0.00
4 Mg 0.0000 0.0000 0.6020  0.00
5 Mg 0.0000 0.0000 0.1923  0.00
6 Tb 0.5000 0.5000 0.7043  0.11
7 Tb 0.5000 0.5000 0.5000  -0.09
8 Tb 0.5000 0.5000 0.0808  0.00
9 Tb 0.5000 0.5000 0.2957  0.11
10 Tb 0.5000 0.5000 0.9192  0.00

Output
calculated total energy = -4.028 eV per atom
size of the total moment = 0.21 μB/f.u.

---

Below is a relaxed structure of RbMgTl2F8, with properties calculated at the GGA-PBE level.

Cell: 5.8077 5.8077 7.8158 Å, 68.19 68.19 60.00°
Fractional positions:
1 Rb 0.0000 0.0000 0.0000
2 Mg 0.5000 0.5000 0.5000
3 F 0.7189 0.7189 0.3567
4 F 0.2055 0.7189 0.3567
5 F 0.2811 0.7945 0.6433
6 F 0.7036 0.7036 0.8891
7 F 0.2964 0.2964 0.1109
8 F 0.7189 0.2055 0.3567
9 F 0.2811 0.2811 0.6433
10 F 0.7945 0.2811 0.6433
11 Tl 0.8022 0.8022 0.5934
12 Tl 0.1978 0.1978 0.4066

Output
size of the total moment = 0.00 μB/f.u.
raw formation energy = -2.284 eV per atom

---

Below is a relaxed structure of CeTc7N12, with properties calculated at the GGA-PBE level.

Cell: 6.6105 6.6105 6.6105 Å, 109.47 109.47 109.47°
Site moments in Bohr magnetons follow the coordinates.
Fractional positions:
1 N 0.5130 0.6938 0.8192  0.01
2 N 0.3062 0.1808 0.4870  0.01
3 N 0.1808 0.8747 0.6938  0.01
4 N 0.6938 0.8192 0.5130  0.01
5 N 0.8747 0.6938 0.1808  0.01
6 N 0.4870 0.3062 0.1808  0.01
7 N 0.1253 0.3062 0.8192  0.01
8 N 0.6938 0.1808 0.8747  0.01
9 N 0.3062 0.8192 0.1253  0.01
10 N 0.8192 0.1253 0.3062  0.01
11 N 0.1808 0.4870 0.3062  0.01
12 N 0.8192 0.5130 0.6938  0.01
13 Tc 0.5000 0.0000 0.0000  0.14
14 Tc 0.0000 0.0000 0.5000  0.14
15 Tc 0.5000 0.5000 0.5000  0.14
16 Tc 0.0000 0.5000 0.0000  0.14
17 Tc 0.0000 0.5000 0.5000  1.93
18 Tc 0.5000 0.5000 0.0000  1.93
19 Tc 0.5000 0.0000 0.5000  1.93
20 Ce 0.0000 0.0000 0.0000  0.14

Output
size of the total moment = 7.31 μB/f.u.
raw formation energy = 0.287 eV per atom

---

Below is a relaxed structure of Pm3Al3Ag8, with properties calculated at the GGA-PBE level.

Cell: 4.6770 8.6576 8.4484 Å, 65.46 73.93 74.33°
Fractional positions:
1 Ag 0.4957 0.3337 0.6749
2 Ag 0.6546 0.9745 0.7162
3 Ag 0.8588 0.4264 0.8560
4 Ag 0.8697 0.8384 0.4222
5 Ag 0.1412 0.5736 0.1440
6 Ag 0.1303 0.1616 0.5778
7 Ag 0.5043 0.6663 0.3251
8 Ag 0.3454 0.0255 0.2838
9 Pm 0.7065 0.2895 0.2976
10 Pm 0.2935 0.7105 0.7024
11 Pm 0.0000 0.0000 0.0000
12 Al 0.3392 0.3100 0.0115
13 Al 0.6608 0.6900 0.9885
14 Al 0.0000 0.5000 0.5000

Output
energy above the lowest structure with this stoichiometry = 0.000 eV per atom
size of the total moment = 0.00 μB/f.u.

---

Below is a relaxed structure of CoPb2Au, with properties calculated at the GGA-PBE level.

Cell: 5.0074 5.0074 5.0074 Å, 60.00 60.00 60.00°
Site moments in Bohr magnetons follow the coordinates.
Fractional positions:
1 Co 0.7500 0.7500 0.7500  1.46
2 Pb 0.2500 0.2500 0.2500  -0.04
3 Pb 0.0000 0.0000 0.0000  -0.07
4 Au 0.5000 0.5000 0.5000  -0.02

Output
energy above the lowest structure with this stoichiometry = 0.351 eV per atom
size of the total moment = 1.20 μB/f.u.

---

Below is a relaxed structure of Tc2RuBr, with properties calculated at the GGA-PBE level.

Cell: 5.0500 5.0500 4.4908 Å, 87.01 87.01 33.51°
Fractional positions:
1 Tc 0.9922 0.9922 0.9806
2 Tc 0.2821 0.2821 0.2298
3 Ru 0.7227 0.7227 0.7812
4 Br 0.5031 0.5031 0.5084

Output
energy above the lowest structure with this stoichiometry = 0.182 eV per atom
size of the total moment = 0.00 μB/f.u.
raw formation energy = 0.699 eV per atom

---

Below is a relaxed structure of Ca4Mg3Cu2, with properties calculated at the GGA-PBE level.

Cell: 7.6796 7.6796 8.3560 Å, 104.01 104.01 32.26°
Fractional positions:
1 Ca 0.2995 0.2995 0.8113
2 Ca 0.5695 0.5695 0.7342
3 Ca 0.4305 0.4305 0.2658
4 Ca 0.7005 0.7005 0.1887
5 Mg 0.0000 0.0000 0.0000
6 Mg 0.8980 0.8980 0.5638
7 Mg 0.1020 0.1020 0.4362
8 Cu 0.7152 0.7152 0.5430
9 Cu 0.2848 0.2848 0.4570

Output
calculated total energy = -2.420 eV per atom
size of the total moment = 0.00 μB/f.u.

---

Below is a relaxed structure of Cu5Rh3, with properties calculated at the GGA-PBE level.

Cell: 5.2642 5.2642 5.2642 Å, 60.37 60.37 60.37°
Fractional positions:
1 Cu 0.0000 0.0000 0.0000
2 Cu 0.0000 0.0000 0.5000
3 Cu 0.0000 0.5000 0.0000
4 Cu 0.5000 0.0000 0.0000
5 Cu 0.5000 0.5000 0.5000
6 Rh 0.5000 0.5000 0.0000
7 Rh 0.0000 0.5000 0.5000
8 Rh 0.5000 0.0000 0.5000

Output
energy above the lowest structure with this stoichiometry = 0.000 eV per atom
size of the total moment = 0.00 μB/f.u.

---

Below is a relaxed structure of La7Sm12Th, with properties calculated at the GGA-PBE level.

Cell: 8.8988 8.8988 8.8988 Å, 90.90 90.90 90.90°
Fractional positions:
1 Sm 0.2827 0.1378 0.7471
2 Sm 0.2529 0.7173 0.8622
3 Sm 0.7173 0.8622 0.2529
4 Sm 0.7471 0.2827 0.1378
5 Sm 0.1631 0.4610 0.5615
6 Sm 0.8369 0.5390 0.4385
7 Sm 0.5390 0.4385 0.8369
8 Sm 0.4385 0.8369 0.5390
9 Sm 0.1378 0.7471 0.2827
10 Sm 0.5615 0.1631 0.4610
11 Sm 0.4610 0.5615 0.1631
12 Sm 0.8622 0.2529 0.7173
13 La 0.5000 0.5000 0.5000
14 La 0.8734 0.6220 0.9466
15 La 0.6220 0.9466 0.8734
16 La 0.9466 0.8734 0.6220
17 La 0.0534 0.1266 0.3780
18 La 0.1266 0.3780 0.0534
19 La 0.3780 0.0534 0.1266
20 Th 0.0000 0.0000 0.0000

Output
energy above the lowest structure with this stoichiometry = 0.000 eV per atom
size of the total moment = 0.00 μB/f.u.

---

Below is a relaxed structure of Ta4InSi, with properties calculated at the GGA-PBE level.

Cell: 5.5012 5.5012 5.5012 Å, 60.00 60.00 60.00°
Fractional positions:
1 Ta 0.3751 0.3751 0.8746
2 Ta 0.3751 0.3751 0.3751
3 Ta 0.3751 0.8746 0.3751
4 Ta 0.8746 0.3751 0.3751
5 Si 0.0000 0.0000 0.0000
6 In 0.7500 0.7500 0.7500

Output
size of the total moment = 0.00 μB/f.u.
raw formation energy = 0.514 eV per atom

---

Below is a relaxed structure of LiAcAs, with properties calculated at the GGA-PBE level.

Cell: 5.0039 5.0039 5.0039 Å, 60.00 60.00 60.00°
Fractional positions:
1 Li 0.0000 0.0000 0.0000
2 As 0.2500 0.2500 0.2500
3 Ac 0.5000 0.5000 0.5000

Output
energy above the lowest structure with this stoichiometry = 0.220 eV per atom
size of the total moment = 0.00 μB/f.u.

---

Below is a relaxed structure of Er2MnGa4Pt3, with properties calculated at the GGA-PBE level.

Cell: 3.9944 3.9944 11.4340 Å, 90.00 90.00 90.00°
Site moments in Bohr magnetons follow the coordinates.
Fractional positions:
1 Ga 0.0000 0.5000 0.3633  -0.07
2 Ga 0.5000 0.5000 0.0000  0.00
3 Ga 0.5000 0.0000 0.6367  -0.07
4 Ga 0.0000 0.0000 0.0000  0.00
5 Mn 0.5000 0.5000 0.5000  3.07
6 Pt 0.0000 0.5000 0.1453  -0.01
7 Pt 0.0000 0.0000 0.5000  0.02
8 Pt 0.5000 0.0000 0.8547  -0.01
9 Er 0.5000 0.0000 0.2559  -0.08
10 Er 0.0000 0.5000 0.7441  -0.08

Output
calculated total energy = -5.659 eV per atom
size of the total moment = 2.81 μB/f.u.

---

Below is a relaxed structure of TbPu2As3Rh4, with properties calculated at the GGA-PBE level.

Cell: 4.0771 4.0771 11.5888 Å, 90.00 90.00 90.00°
Site moments in Bohr magnetons follow the coordinates.
Fractional positions:
1 Rh 0.5000 0.0000 0.6646  -0.15
2 Rh 0.5000 0.5000 0.0000  0.05
3 Rh 0.0000 0.0000 0.0000  0.05
4 Rh 0.0000 0.5000 0.3354  -0.15
5 As 0.0000 0.0000 0.5000  -0.05
6 As 0.0000 0.5000 0.1255  -0.02
7 As 0.5000 0.0000 0.8745  -0.02
8 Tb 0.5000 0.5000 0.5000  0.12
9 Pu 0.5000 0.0000 0.2307  5.22
10 Pu 0.0000 0.5000 0.7693  5.22

Output
calculated total energy = -8.429 eV per atom
size of the total moment = 10.80 μB/f.u.